No. 1
Below is Ta2Zn4O9 at its PBEsol-relaxed geometry, with properties calculated at the meta-GGA SCAN level.

Values from the calculation:
Polymorph energy (0 for the lowest one): 2 meV/atom
SG: No. 60

Cell lengths 8.937, 5.158, 14.329 Å; angles 90.00, 90.00, 90.00 degrees
Positions (direct):
Ta: 0.019 0.001 0.142
Ta: 0.019 0.999 0.642
Ta: 0.481 0.499 0.642
Ta: 0.481 0.501 0.142
Ta: 0.519 0.499 0.858
Ta: 0.519 0.501 0.358
Ta: 0.981 0.001 0.358
Ta: 0.981 0.999 0.858
Zn: 0.163 0.496 0.001
Zn: 0.163 0.504 0.501
Zn: 0.165 0.498 0.801
Zn: 0.165 0.502 0.301
Zn: 0.335 0.002 0.301
Zn: 0.335 0.998 0.801
Zn: 0.337 0.004 0.501
Zn: 0.337 0.996 0.001
Zn: 0.663 0.004 0.999
Zn: 0.663 0.996 0.499
Zn: 0.665 0.002 0.199
Zn: 0.665 0.998 0.699
Zn: 0.835 0.498 0.699
Zn: 0.835 0.502 0.199
Zn: 0.837 0.496 0.499
Zn: 0.837 0.504 0.999
O: 0.000 0.283 0.750
O: 0.000 0.717 0.250
O: 0.007 0.330 0.415
O: 0.007 0.670 0.915
O: 0.143 0.144 0.250
O: 0.143 0.856 0.750
O: 0.161 0.174 0.904
O: 0.161 0.826 0.404
O: 0.168 0.160 0.573
O: 0.168 0.840 0.073
O: 0.332 0.340 0.073
O: 0.332 0.660 0.573
O: 0.339 0.326 0.404
O: 0.339 0.674 0.904
O: 0.357 0.356 0.750
O: 0.357 0.644 0.250
O: 0.493 0.170 0.915
O: 0.493 0.830 0.415
O: 0.500 0.217 0.250
O: 0.500 0.783 0.750
O: 0.507 0.170 0.585
O: 0.507 0.830 0.085
O: 0.643 0.356 0.750
O: 0.643 0.644 0.250
O: 0.661 0.326 0.096
O: 0.661 0.674 0.596
O: 0.668 0.340 0.427
O: 0.668 0.660 0.927
O: 0.832 0.160 0.927
O: 0.832 0.840 0.427
O: 0.839 0.174 0.596
O: 0.839 0.826 0.096
O: 0.857 0.144 0.250
O: 0.857 0.856 0.750
O: 0.993 0.330 0.085
O: 0.993 0.670 0.585

***

No. 2
Below is Ta2Zn4O9 at its PBEsol-relaxed geometry, with properties calculated at the meta-GGA SCAN level.

Values from the calculation:
Polymorph energy (0 for the lowest one): 0 meV/atom
SG: No. 165

Cell lengths 5.172, 5.172, 14.143 Å; angles 90.00, 90.00, 120.00 degrees
Positions (direct):
Ta: 0.000 0.000 0.141
Ta: 0.000 0.000 0.359
Ta: 0.000 0.000 0.641
Ta: 0.000 0.000 0.859
Zn: 0.333 0.667 0.016
Zn: 0.333 0.667 0.302
Zn: 0.333 0.667 0.516
Zn: 0.333 0.667 0.802
Zn: 0.667 0.333 0.198
Zn: 0.667 0.333 0.484
Zn: 0.667 0.333 0.698
Zn: 0.667 0.333 0.984
O: 0.000 0.286 0.250
O: 0.000 0.714 0.750
O: 0.022 0.343 0.916
O: 0.022 0.680 0.416
O: 0.286 0.000 0.250
O: 0.286 0.286 0.750
O: 0.320 0.343 0.416
O: 0.320 0.978 0.916
O: 0.343 0.022 0.584
O: 0.343 0.320 0.084
O: 0.657 0.680 0.916
O: 0.657 0.978 0.416
O: 0.680 0.022 0.084
O: 0.680 0.657 0.584
O: 0.714 0.000 0.750
O: 0.714 0.714 0.250
O: 0.978 0.320 0.584
O: 0.978 0.657 0.084

***

No. 3
Below is Ta2ZnO6 at its PBEsol-relaxed geometry, with properties calculated at the meta-GGA SCAN level.

Values from the calculation:
Polymorph energy (0 for the lowest one): 0 meV/atom
SG: No. 60

Cell lengths 4.700, 17.113, 5.064 Å; angles 90.00, 90.00, 90.00 degrees
Positions (direct):
Ta: 0.000 0.055 0.250
Ta: 0.000 0.281 0.750
Ta: 0.000 0.719 0.250
Ta: 0.000 0.945 0.750
Ta: 0.500 0.219 0.250
Ta: 0.500 0.445 0.750
Ta: 0.500 0.555 0.250
Ta: 0.500 0.781 0.750
Zn: 0.000 0.396 0.250
Zn: 0.000 0.604 0.750
Zn: 0.500 0.104 0.750
Zn: 0.500 0.896 0.250
O: 0.220 0.035 0.573
O: 0.220 0.965 0.073
O: 0.230 0.371 0.599
O: 0.230 0.629 0.099
O: 0.238 0.290 0.075
O: 0.238 0.710 0.575
O: 0.262 0.210 0.575
O: 0.262 0.790 0.075
O: 0.270 0.129 0.099
O: 0.270 0.871 0.599
O: 0.280 0.465 0.073
O: 0.280 0.535 0.573
O: 0.720 0.465 0.427
O: 0.720 0.535 0.927
O: 0.730 0.129 0.401
O: 0.730 0.871 0.901
O: 0.738 0.210 0.925
O: 0.738 0.790 0.425
O: 0.762 0.290 0.425
O: 0.762 0.710 0.925
O: 0.770 0.371 0.901
O: 0.770 0.629 0.401
O: 0.780 0.035 0.927
O: 0.780 0.965 0.427

***

No. 4
Below is Ta2Zn4O9 at its PBEsol-relaxed geometry, with properties calculated at the meta-GGA SCAN level.

Values from the calculation:
Polymorph energy (0 for the lowest one): 49 meV/atom
SG: No. 14

Cell lengths 9.323, 5.202, 15.801 Å; angles 90.00, 123.88, 90.00 degrees
Positions (direct):
Ta: 0.001 0.000 0.341
Ta: 0.001 0.500 0.841
Ta: 0.494 0.002 0.160
Ta: 0.494 0.498 0.660
Ta: 0.506 0.502 0.340
Ta: 0.506 0.998 0.840
Ta: 0.999 0.000 0.659
Ta: 0.999 0.500 0.159
Zn: 0.000 0.000 0.000
Zn: 0.000 0.500 0.500
Zn: 0.244 0.003 0.904
Zn: 0.244 0.497 0.404
Zn: 0.245 0.004 0.237
Zn: 0.245 0.496 0.737
Zn: 0.265 0.013 0.576
Zn: 0.265 0.487 0.076
Zn: 0.500 0.000 0.500
Zn: 0.500 0.500 0.000
Zn: 0.735 0.513 0.924
Zn: 0.735 0.987 0.424
Zn: 0.755 0.504 0.263
Zn: 0.755 0.996 0.763
Zn: 0.756 0.503 0.596
Zn: 0.756 0.997 0.096
O: 0.053 0.670 0.406
O: 0.053 0.830 0.906
O: 0.062 0.679 0.748
O: 0.062 0.821 0.248
O: 0.088 0.653 0.089
O: 0.088 0.847 0.589
O: 0.236 0.126 0.440
O: 0.236 0.374 0.940
O: 0.253 0.119 0.777
O: 0.253 0.381 0.277
O: 0.259 0.116 0.114
O: 0.259 0.384 0.614
O: 0.421 0.665 0.534
O: 0.421 0.835 0.034
O: 0.430 0.680 0.866
O: 0.430 0.820 0.366
O: 0.447 0.666 0.206
O: 0.447 0.834 0.706
O: 0.553 0.166 0.294
O: 0.553 0.334 0.794
O: 0.570 0.180 0.634
O: 0.570 0.320 0.134
O: 0.579 0.165 0.966
O: 0.579 0.335 0.466
O: 0.741 0.616 0.386
O: 0.741 0.884 0.886
O: 0.747 0.619 0.723
O: 0.747 0.881 0.223
O: 0.764 0.626 0.060
O: 0.764 0.874 0.560
O: 0.912 0.153 0.411
O: 0.912 0.347 0.911
O: 0.938 0.179 0.752
O: 0.938 0.321 0.252
O: 0.947 0.170 0.094
O: 0.947 0.330 0.594